Entry from Alexandria via LeMat-Bulk: an optimized crystal structure of Rb2In2Ag (PBE).

Computed properties:
SG	No. 127
electronic total energy	-2.01	eV/atom
energy relative to the lowest polymorph listed for this composition	0.054	eV/atom
calculated formation energy	4	kJ per mole of atoms

Cell: 7.5993 7.5993 6.3287 Å, 90.00 90.00 90.00°
Positions (direct):
Rb: 0.1836 0.3164 0.0000
Rb: 0.3164 0.8164 0.0000
Rb: 0.6836 0.1836 0.0000
Rb: 0.8164 0.6836 0.0000
In: 0.1360 0.6360 0.5000
In: 0.3640 0.1360 0.5000
In: 0.6360 0.8640 0.5000
In: 0.8640 0.3640 0.5000
Ag: 0.0000 0.0000 0.5000
Ag: 0.5000 0.5000 0.5000